## KCrCoSe3 (GGA-PBE)

Data for a relaxed KCrCoSe3 crystal.

## Properties
Magnetic moment: 1.07 μB per cell
DOS(E_F): 4.68 states/eV per cell
Raw formation energy: -3.90 eV per formula unit
E: -5.363 eV per atom

Lattice parameters (Å, degrees): 8.5922 3.7097 9.5284 90.00 114.90 90.00
Last column: nearest neighbours and their distance in Å.
Space group P2_1/m (No. 11)
Asymmetric unit:
1 K 0.2319 0.2500 0.2525 [2 per cell]  7 Se 3.30-3.47
2 Cr 0.3148 0.7500 0.8396 [2 per cell]  6 Se 2.52-2.56
3 Co 0.0793 0.2500 0.5985 [2 per cell]  4 Se 2.34-2.39, 2 Co 2.58
4 Se 0.1225 0.2500 0.8579 [2 per cell]  1 Co 2.34, 2 Cr 2.54
5 Se 0.2250 0.7500 0.5513 [2 per cell]  3 Co 2.38-2.39, 1 Cr 2.52
6 Se 0.4723 0.7500 0.1354 [2 per cell]  3 Cr 2.54-2.56